[1]
The following is a GGA-PBE calculation of a geometry-optimized Sn3GeSb structure, from Alexandria via LeMat-Bulk.

The structure in POSCAR format:
```
Sn3GeSb
1.0
-4.986 -1.963 0.301
0.726 -1.044 5.214
-1.848 4.885 1.235
Sb Ge Sn
1 1 3
direct
0.500 0.500 0.500
0.000 0.000 0.000
0.000 0.500 0.000
0.000 0.000 0.500
0.500 0.000 0.000
```

Calculated values
The value obtained for the energy above the most stable polymorph in this dataset is 0 meV per atom. Its total energy is -18.5 eV/f.u. As for the raw formation energy: 2.273 eV/f.u.

---

[2]
The following is a GGA-PBE calculation of a geometry-optimized Nb5Ru structure, from Alexandria via LeMat-Bulk.

The structure in POSCAR format:
```
Nb5Ru
1.0
3.258 0.000 0.000
0.000 4.624 0.000
0.000 -2.312 6.923
Ru Nb
1 5
direct
0.000 0.000 0.000
0.000 0.665 0.330
0.000 0.335 0.670
0.500 0.500 0.000
0.500 0.163 0.326
0.500 0.837 0.674
```

Calculated values
The value obtained for the formation energy is -0.171 eV/atom. The value obtained for the energy above the most stable polymorph in this dataset is 1 meV per atom. Its total energy is -60.6 eV/f.u.

---

[3]
The following is a GGA-PBE calculation of a geometry-optimized AcNdTm4 structure, from Alexandria via LeMat-Bulk.

The structure in POSCAR format:
```
AcNdTm4
1.0
6.725 0.000 0.000
3.362 5.824 0.000
3.362 1.941 5.491
Ac Tm Nd
1 4 1
direct
0.250 0.250 0.250
0.625 0.625 0.124
0.625 0.124 0.625
0.625 0.625 0.625
0.124 0.625 0.625
0.000 0.000 0.000
```

Calculated values
The value obtained for the formation energy is 0.267 eV/atom. The value obtained for the energy above the most stable polymorph in this dataset is 197 meV per atom. Its total energy is -25.2 eV/f.u.

---

[4]
The following is a GGA-PBE calculation of a geometry-optimized K2Sn2AsS2 structure, from Alexandria via LeMat-Bulk.

The structure in POSCAR format:
```
K2Sn2AsS2
1.0
3.754 0.000 -0.001
1.880 6.620 1.603
0.003 2.952 9.211
K Sn As S
2 2 1 2
direct
0.434 0.132 0.661
0.566 0.868 0.339
0.770 0.460 0.879
0.230 0.540 0.121
0.000 0.000 0.000
0.816 0.368 0.339
0.184 0.632 0.661
```

Calculated values
Its total energy is -27.0 eV/f.u. As for the raw formation energy: -3.867 eV/f.u.

---

[5]
The following is a GGA-PBE calculation of a geometry-optimized GaCuSe2 structure, from Alexandria via LeMat-Bulk.

The structure in POSCAR format:
```
GaCuSe2
1.0
2.233 0.000 7.301
-1.116 1.933 7.301
-1.116 -1.933 7.301
Cu Ga Se
1 1 2
direct
0.000 0.000 0.000
0.500 0.500 0.500
0.896 0.896 0.896
0.104 0.104 0.104
```

Calculated values
Its total energy is -15.0 eV/f.u. As for the raw formation energy: -0.953 eV/f.u.

---

[6]
The following is a GGA-PBE calculation of a geometry-optimized Cs2RbTl10 structure, from Alexandria via LeMat-Bulk.

The structure in POSCAR format:
```
Cs2RbTl10
1.0
7.448 0.000 0.000
0.000 8.930 0.000
0.000 0.000 17.635
Cs Rb Tl
4 2 20
direct
0.500 0.307 0.912
0.500 0.693 0.088
0.500 0.807 0.588
0.500 0.193 0.412
0.000 0.500 0.500
0.000 0.000 0.000
0.000 0.121 0.565
0.000 0.879 0.435
0.000 0.621 0.935
0.000 0.379 0.065
0.000 0.804 0.647
0.000 0.196 0.353
0.277 0.324 0.201
0.277 0.676 0.799
0.723 0.824 0.299
0.723 0.176 0.701
0.723 0.676 0.799
0.723 0.324 0.201
0.277 0.176 0.701
0.277 0.824 0.299
0.000 0.035 0.199
0.000 0.965 0.801
0.000 0.535 0.301
0.000 0.465 0.699
0.000 0.696 0.147
0.000 0.304 0.853
```

Calculated values
The value obtained for the formation energy is 0.001 eV/atom. Its total energy is -26.3 eV/f.u.

---

[7]
The following is a GGA-PBE calculation of a geometry-optimized Dy2Tl3CrSe6 structure, from Alexandria via LeMat-Bulk.

The structure in POSCAR format:
```
Dy2Tl3CrSe6
1.0
7.021 0.001 0.001
-3.508 6.082 0.001
-1.170 -2.025 7.734
Dy Tl Cr Se
2 3 1 6
direct
0.334 0.666 0.000
0.666 0.334 0.000
0.176 0.824 0.500
0.824 0.176 0.500
0.500 0.500 0.500
0.000 0.000 0.000
0.936 0.629 0.806
0.760 0.760 0.202
0.064 0.371 0.194
0.629 0.936 0.806
0.240 0.240 0.798
0.371 0.064 0.194
```

Calculated values
Its total energy is -59.4 eV/f.u. As for the raw formation energy: -12.541 eV/f.u.

---

[8]
The following is a GGA-PBE calculation of a geometry-optimized CoTc2Os structure, from Alexandria via LeMat-Bulk.

The structure in POSCAR format:
```
CoTc2Os
1.0
-0.560 2.782 3.201
1.858 -0.697 3.790
3.248 2.474 1.277
Co Tc Os
1 2 1
direct
0.750 0.750 0.750
0.000 0.000 0.000
0.250 0.250 0.250
0.500 0.500 0.500
```

Calculated values
The value obtained for the formation energy is 0.345 eV/atom. The value obtained for the energy above the most stable polymorph in this dataset is 382 meV per atom. Its total energy is -37.7 eV/f.u.